Rb2NaSnI6: relaxed, PBE.

abc: 8.685 8.685 8.685
angles: 60.00 60.00 60.00
Atoms (fractional coordinates):
1 Rb 0.250 0.250 0.250
2 Rb 0.750 0.750 0.750
3 Na 0.000 0.000 0.000
4 Sn 0.500 0.500 0.500
5 I 0.255 0.255 0.745
6 I 0.255 0.745 0.255
7 I 0.255 0.745 0.745
8 I 0.745 0.255 0.255
9 I 0.745 0.255 0.745
10 I 0.745 0.745 0.255

Energy relative to the elements, uncorrected, kJ per mole of atoms: -92.2
SG: Fm-3m
Crystal system: cubic